Here is a geometry-optimized Mg2Be2SiPd5 structure from Alexandria via LeMat-Bulk. Energies are from PBE.

Results
* uncorrected formation energy: -0.638 eV/atom
* V: 14.073 Å³ per atom

Lattice parameters (Å, degrees): 9.419 9.419 3.172 90.00 90.00 90.00
Space group P4/mbm (No. 127)
Asymmetric unit:
Mg (0.173, 0.327, 0.000) (multiplicity 4)
Be (0.126, 0.626, 0.000) (multiplicity 4)
Si (0.000, 0.000, 0.000) (multiplicity 2)
Pd (0.000, 0.500, 0.500) (multiplicity 2)
Pd (0.073, 0.798, 0.500) (multiplicity 8)


Here is a geometry-optimized Na2TbAg structure from Alexandria via LeMat-Bulk. Energies are from PBE.

Results
* V: 27.861 Å³ per atom

Lattice parameters (Å, degrees): 3.3186 3.3186 35.0539 90.00 90.00 120.00
Space group R-3m (No. 166, hexagonal axes)
Asymmetric unit:
Na (0.0000, 0.0000, 0.0966) (multiplicity 6)
Tb (0.0000, 0.0000, 0.0000) (multiplicity 3)
Ag (0.0000, 0.0000, 0.5000) (multiplicity 3)


Here is a geometry-optimized Na2CaPd structure from Alexandria via LeMat-Bulk. Energies are from PBE.

Results
* V: 24.576 Å³ per atom
* E above lowest polymorph: 70 meV per atom

Lattice parameters (Å, degrees): 7.326 7.326 7.326 90.00 90.00 90.00
Space group Fm-3m (No. 225)
Asymmetric unit:
Na (0.250, 0.250, 0.250) (multiplicity 8)
Ca (0.000, 0.000, 0.000) (multiplicity 4)
Pd (0.000, 0.000, 0.500) (multiplicity 4)


Number 1: density of states at the Fermi level 5.74 states/eV/cell, size of the total moment 0.000 μB per formula unit, total DFT energy (no corrections) -4.841 eV per atom. Number 2: density of states at the Fermi level 7.73 states/eV/cell, size of the total moment 0.000 μB per formula unit, total DFT energy (no corrections) -2.309 eV per atom. Number 3: density of states at the Fermi level 6.56 states/eV/cell, size of the total moment 0.000 μB per formula unit, total DFT energy (no corrections) -2.465 eV per atom.